Record 1
Material: MnRe2Rh
Method: DFT, PBE
State: relaxed

Cell: 4.296 4.296 4.296 Å, 60.00 60.00 60.00°
Fractional positions:
Re  0.250  0.250  0.250
Re  0.750  0.750  0.750
Mn  0.000  0.000  0.000
Rh  0.500  0.500  0.500

**D(E_F)**: 2.088 states/eV per atom
**Total energy**: -9.90 eV/atom
**Symmetry**: Fm-3m
**Mass density**: 15.70 g/cm³
**ΔE to the lowest computed polymorph**: 479 meV per atom



Record 2
Material: KSc4Pt3O12
Method: DFT, PBE
State: relaxed

Cell: 6.847 6.847 6.847 Å, 109.47 109.47 109.47°
Fractional positions:
K  0.000  0.000  0.000
Sc  0.500  0.000  0.000
Sc  0.500  0.500  0.500
Sc  0.000  0.500  0.000
Sc  0.000  0.000  0.500
Pt  0.000  0.500  0.500
Pt  0.500  0.500  0.000
Pt  0.500  0.000  0.500
O  0.319  0.826  0.145
O  0.681  0.174  0.855
O  0.681  0.826  0.507
O  0.855  0.681  0.174
O  0.826  0.145  0.319
O  0.174  0.493  0.319
O  0.493  0.319  0.174
O  0.174  0.855  0.681
O  0.319  0.174  0.493
O  0.145  0.319  0.826
O  0.826  0.507  0.681
O  0.507  0.681  0.826

**D(E_F)**: 0.747 states/eV per atom
**Total energy**: -7.19 eV/atom
**Symmetry**: Im-3
**Mass density**: 6.69 g/cm³



What is the total energy in the first record? -9.90 eV/atom



Which formula does entry 1 have? MnRe2Rh